Computed, not measured: Sc2OsCl after structural relaxation at the GGA-PBE level of DFT.

Computed properties:
Total energy ... -6.117 eV per atom
Uncorrected formation energy ... 1.27 eV per formula unit
Total magnetization ... 0.061 Bohr magnetons per cell
Excess energy over the best structure of this formula in the dataset ... 1262 meV per atom

a = 6.631 Å, b = 6.631 Å, c = 6.631 Å
α = 90.00°, β = 90.00°, γ = 90.00°
Sites, in units of the cell vectors:
Sc1 0.000 0.000 0.000
Sc2 0.000 0.500 0.500
Sc3 0.250 0.250 0.250
Sc4 0.250 0.750 0.750
Sc5 0.500 0.000 0.500
Sc6 0.500 0.500 0.000
Sc7 0.750 0.250 0.750
Sc8 0.750 0.750 0.250
Os1 0.000 0.000 0.500
Os2 0.000 0.500 0.000
Os3 0.500 0.000 0.000
Os4 0.500 0.500 0.500
Cl1 0.250 0.250 0.750
Cl2 0.250 0.750 0.250
Cl3 0.750 0.250 0.250
Cl4 0.750 0.750 0.750